1.
## V2Zn4O9 (GGA+U)

Data for a relaxed V2Zn4O9 crystal.

a = 5.145 Å, b = 5.145 Å, c = 13.856 Å
α = 90.00°, β = 90.00°, γ = 120.00°
Fractional positions:
V 0.000 0.000 0.142
V 0.000 0.000 0.358
V 0.000 0.000 0.642
V 0.000 0.000 0.858
Zn 0.333 0.667 0.205
Zn 0.333 0.667 0.481
Zn 0.333 0.667 0.705
Zn 0.333 0.667 0.981
Zn 0.667 0.333 0.019
Zn 0.667 0.333 0.295
Zn 0.667 0.333 0.519
Zn 0.667 0.333 0.795
O 0.000 0.277 0.250
O 0.000 0.723 0.750
O 0.021 0.325 0.586
O 0.021 0.696 0.086
O 0.277 0.000 0.250
O 0.277 0.277 0.750
O 0.304 0.325 0.086
O 0.304 0.979 0.586
O 0.325 0.021 0.914
O 0.325 0.304 0.414
O 0.675 0.696 0.586
O 0.675 0.979 0.086
O 0.696 0.021 0.414
O 0.696 0.675 0.914
O 0.723 0.000 0.750
O 0.723 0.723 0.250
O 0.979 0.304 0.914
O 0.979 0.675 0.414

**Calculated density**: 5.3 g cm⁻³
**V**: 317.7 Å³/cell
**Space-group type**: P-3c1, No. 165
**E above lowest polymorph**: 56.8 meV per atom


2.
## BaUCoO5 (GGA+U)

Data for a relaxed BaUCoO5 crystal.

a = 6.195 Å, b = 6.195 Å, c = 8.106 Å
α = 104.33°, β = 104.33°, γ = 106.69°
Fractional positions:
Ba 0.168 0.832 0.750
Ba 0.832 0.168 0.250
U 0.500 0.500 0.000
U 0.500 0.500 0.500
Co 0.189 0.811 0.250
Co 0.811 0.189 0.750
O 0.149 0.265 0.903
O 0.216 0.608 0.404
O 0.265 0.149 0.403
O 0.392 0.784 0.096
O 0.434 0.566 0.750
O 0.566 0.434 0.250
O 0.608 0.216 0.904
O 0.735 0.851 0.597
O 0.784 0.392 0.596
O 0.851 0.735 0.097

**Calculated density**: 6.3 g cm⁻³
**E**: -8.017 eV/atom
**V**: 271.1 Å³/cell
**Space-group type**: C2/c, No. 15